Run P
The following is a GGA-PBE calculation of crystalline TbDyY5 at its relaxed geometry, from Alexandria.

Calculated values
Its symmetry is No. 71. The calculation puts the density of states at the Fermi level at 1.259 states/eV per atom. Its size of the total moment is 0.000 μB per atom.

Unit cell a=7.915 b=7.915 c=7.915 alpha=137.06 beta=113.97 gamma=82.05
Sites, in units of the cell vectors:
Tb1 0.000 0.000 0.000
Dy1 0.500 0.500 0.000
Y1 0.178 0.500 0.678
Y2 0.254 0.254 0.000
Y3 0.500 0.000 0.500
Y4 0.746 0.746 0.000
Y5 0.822 0.500 0.322

***

Run Q
The following is a GGA-PBE calculation of crystalline TbDyY5 at its relaxed geometry, from Alexandria.

Calculated values
Its symmetry is No. 15. The calculation puts the density of states at the Fermi level at 1.744 states/eV per atom. Its size of the total moment is 0.000 μB per atom.

Unit cell a=9.271 b=9.271 c=8.839 alpha=93.97 beta=93.97 gamma=141.53
Sites, in units of the cell vectors:
Tb1 0.000 0.000 0.000
Tb2 0.000 0.000 0.500
Dy1 0.487 0.513 0.750
Dy2 0.513 0.487 0.250
Y1 0.014 0.390 0.646
Y2 0.144 0.856 0.750
Y3 0.233 0.542 0.037
Y4 0.390 0.014 0.146
Y5 0.458 0.767 0.463
Y6 0.542 0.233 0.537
Y7 0.610 0.986 0.854
Y8 0.767 0.458 0.963
Y9 0.856 0.144 0.250
Y10 0.986 0.610 0.354

***

What should be chosen as the least stable of them? Choose run P.

***

Run P
The following is a GGA-PBE calculation of crystalline Tb2Dy3Y3 at its relaxed geometry, from Alexandria.

Calculated values
Its symmetry is No. 155. The calculation puts the density of states at the Fermi level at 1.948 states/eV per atom. Its size of the total moment is 0.711 μB per atom.

Unit cell a=6.452 b=6.452 c=6.452 alpha=85.83 beta=85.83 gamma=85.83
Sites, in units of the cell vectors:
Tb1 0.249 0.249 0.249
Tb2 0.751 0.751 0.751
Dy1 0.000 0.767 0.233
Dy2 0.233 0.000 0.767
Dy3 0.767 0.233 0.000
Y1 0.265 0.500 0.735
Y2 0.500 0.735 0.265
Y3 0.735 0.265 0.500

***

Run Q
The following is a GGA-PBE calculation of crystalline Tb2Dy3Y3 at its relaxed geometry, from Alexandria.

Calculated values
Its symmetry is No. 71. The calculation puts the density of states at the Fermi level at 1.420 states/eV per atom. Its size of the total moment is 0.000 μB per atom.

Unit cell a=10.674 b=10.674 c=10.674 alpha=152.74 beta=152.73 gamma=38.94
Sites, in units of the cell vectors:
Tb1 0.250 0.250 0.000
Tb2 0.750 0.750 0.000
Dy1 0.000 0.000 0.000
Dy2 0.125 0.625 0.500
Dy3 0.875 0.375 0.500
Y1 0.375 0.875 0.500
Y2 0.500 0.500 0.000
Y3 0.625 0.125 0.500

***

What should be chosen as the least stable of them? Choose run P.

***

Run P
The following is a GGA-PBE calculation of crystalline Tb5Dy5Y at its relaxed geometry, from Alexandria.

Calculated values
Its symmetry is No. 187. The calculation puts the density of states at the Fermi level at 1.817 states/eV per atom. Its size of the total moment is 0.000 μB per atom.

Unit cell a=6.065 b=6.065 c=11.537 alpha=90.00 beta=90.00 gamma=120.00
Sites, in units of the cell vectors:
Tb1 0.000 0.000 0.000
Tb2 0.333 0.667 0.319
Tb3 0.333 0.667 0.681
Tb4 0.667 0.333 0.156
Tb5 0.667 0.333 0.844
Dy1 0.000 0.000 0.265
Dy2 0.000 0.000 0.735
Dy3 0.336 0.168 0.500
Dy4 0.832 0.168 0.500
Dy5 0.832 0.664 0.500
Y1 0.333 0.667 0.000

***

Run Q
The following is a GGA-PBE calculation of crystalline Tb5Dy5Y at its relaxed geometry, from Alexandria.

Calculated values
Its symmetry is No. 2. The calculation puts the density of states at the Fermi level at 1.482 states/eV per atom. Its size of the total moment is 0.000 μB per atom.

Unit cell a=6.823 b=6.847 c=8.620 alpha=75.18 beta=75.13 gamma=69.98
Sites, in units of the cell vectors:
Tb1 0.000 0.000 0.000
Tb2 0.149 0.223 0.275
Tb3 0.272 0.350 0.728
Tb4 0.728 0.650 0.272
Tb5 0.851 0.777 0.725
Dy1 0.187 0.680 0.366
Dy2 0.355 0.853 0.636
Dy3 0.500 0.000 0.000
Dy4 0.645 0.147 0.364
Dy5 0.813 0.320 0.634
Y1 0.500 0.500 0.000

***

What should be chosen as the least stable of them? Choose run P.

***

Run P
The following is a GGA-PBE calculation of crystalline Tb2Dy7Y2 at its relaxed geometry, from Alexandria.

Calculated values
Its symmetry is No. 65. The calculation puts the density of states at the Fermi level at 1.193 states/eV per atom. Its size of the total moment is 0.000 μB per atom.

Unit cell a=11.091 b=11.091 c=3.624 alpha=90.00 beta=90.00 gamma=125.85
Sites, in units of the cell vectors:
Tb1 0.227 0.227 0.000
Tb2 0.773 0.773 0.000
Dy1 0.084 0.916 0.500
Dy2 0.139 0.461 0.500
Dy3 0.461 0.139 0.500
Dy4 0.500 0.500 0.500
Dy5 0.539 0.861 0.500
Dy6 0.861 0.539 0.500
Dy7 0.916 0.084 0.500
Y1 0.224 0.776 0.000
Y2 0.776 0.224 0.000

***

Run Q
The following is a GGA-PBE calculation of crystalline Tb2Dy7Y2 at its relaxed geometry, from Alexandria.

Calculated values
Its symmetry is No. 12. The calculation puts the density of states at the Fermi level at 1.479 states/eV per atom. Its size of the total moment is 0.000 μB per atom.

Unit cell a=6.664 b=6.664 c=8.333 alpha=99.83 beta=99.83 gamma=88.52
Sites, in units of the cell vectors:
Tb1 0.099 0.099 0.343
Tb2 0.901 0.901 0.657
Dy1 0.006 0.602 0.319
Dy2 0.193 0.193 0.015
Dy3 0.398 0.994 0.681
Dy4 0.500 0.500 0.500
Dy5 0.602 0.006 0.319
Dy6 0.807 0.807 0.985
Dy7 0.994 0.398 0.681
Y1 0.313 0.687 0.000
Y2 0.687 0.313 0.000

***

What should be chosen as the least stable of them? Choose run Q.